DFT (PBE-GGA) results for a relaxed structure of TbPr2DySe5.

## Properties
SG	P4/mmm (123)
V	287.72	Å³/cell
formation energy (no corrections)	-1.2665	eV/atom

Unit cell a=5.1695 b=5.1695 c=10.7664 alpha=90.00 beta=90.00 gamma=90.00
Last column: nearest neighbours and their distance in Å.
Fractional coordinates of all 9 atoms:
Tb: 0.0000 0.0000 0.5000  6 Se 2.58-2.75
Pr: 0.5000 0.5000 0.6838  5 Se 3.26-3.40
Pr: 0.5000 0.5000 0.3162  5 Se 3.26-3.40
Se: 0.0000 0.5000 0.5000  2 Tb 2.58
Se: 0.5000 0.0000 0.5000  2 Tb 2.58
Se: 0.5000 0.5000 0.0000  2 Pr 3.40, 4 Dy 3.66
Se: 0.0000 0.0000 0.2447  1 Dy 2.63, 1 Tb 2.75
Se: 0.0000 0.0000 0.7553  1 Dy 2.63, 1 Tb 2.75
Dy: 0.0000 0.0000 0.0000  2 Se 2.63



DFT (PBE-GGA) results for a relaxed structure of TbPr2DySe4.

## Properties
SG	P2/m (10)
V	206.01	Å³/cell
formation energy (no corrections)	-1.8076	eV/atom

Unit cell a=4.1041 b=7.1580 c=7.3991 alpha=108.60 beta=90.00 gamma=90.00
Last column: nearest neighbours and their distance in Å.
Fractional coordinates of all 8 atoms:
Pr: 0.5000 0.0000 0.5000  6 Se 3.03
Pr: 0.0000 0.5000 0.5000  6 Se 3.02
Se: 0.0000 0.2568 0.7671  2 Dy 2.88, 1 Tb 2.89, 3 Pr 3.02-3.03
Se: 0.5000 0.2453 0.2335  1 Dy 2.88, 2 Tb 2.89, 3 Pr 3.02-3.03
Se: 0.5000 0.7547 0.7665  1 Dy 2.88, 2 Tb 2.89, 3 Pr 3.02-3.03
Se: 0.0000 0.7432 0.2329  2 Dy 2.88, 1 Tb 2.89, 3 Pr 3.02-3.03
Dy: 0.5000 0.5000 0.0000  6 Se 2.88
Tb: 0.0000 0.0000 0.0000  6 Se 2.89



DFT (PBE-GGA) results for a relaxed structure of Tb4PrDy3Se8.

## Properties
SG	R-3m (166)
V	393.15	Å³/cell
formation energy (no corrections)	-1.7633	eV/atom

Unit cell a=8.2271 b=8.2191 c=8.2290 alpha=120.06 beta=119.99 gamma=90.00
Last column: nearest neighbours and their distance in Å.
Fractional coordinates of all 16 atoms:
Se: 0.7493 0.7479 0.4986  3 Dy 2.90, 3 Tb 2.92
Se: 0.7449 0.2464 0.0015  3 Tb 2.85-2.92, 2 Dy 2.90, 1 Pr 2.97
Se: 0.2551 0.7536 0.5101  3 Tb 2.85-2.92, 2 Dy 2.90, 1 Pr 2.97
Se: 0.7449 0.2464 0.4899  3 Tb 2.85-2.92, 2 Dy 2.90, 1 Pr 2.97
Se: 0.7435 0.7536 0.9985  3 Tb 2.85-2.92, 2 Dy 2.90, 1 Pr 2.97
Se: 0.2507 0.2521 0.5014  3 Dy 2.90, 3 Tb 2.92
Se: 0.2565 0.2464 0.0015  3 Tb 2.85-2.92, 2 Dy 2.90, 1 Pr 2.97
Se: 0.2551 0.7536 0.9985  3 Tb 2.85-2.92, 2 Dy 2.90, 1 Pr 2.97
Tb: 0.5000 0.0000 0.5000  6 Se 2.92
Tb: 0.0000 0.0000 0.0000  6 Se 2.92
Tb: 0.0000 0.0000 0.5000  6 Se 2.92
Tb: 0.5000 0.0000 0.0000  6 Se 2.85
Dy: 0.5000 0.5000 0.5000  6 Se 2.90
Dy: 0.5000 0.5000 0.0000  6 Se 2.90
Dy: 0.0000 0.5000 0.5000  6 Se 2.90
Pr: 0.0000 0.5000 0.0000  6 Se 2.97